(1)
First-principles (SCAN) data for a PBEsol-optimized structure of BeIn3O, as listed in Alexandria via LeMat-Bulk.

```
BeIn3O
1.0
-2.934 -3.362 1.260
1.979 -2.872 -3.056
2.996 -1.396 3.252
In O Be
3 1 1
direct
0.000 0.000 0.500
0.500 0.000 0.000
0.000 0.500 0.000
0.500 0.500 0.500
0.000 0.000 0.000
```

Values from the calculation:
DFT total energy in eV/atom: -21.8317
Formation energy from raw total energies in eV/atom: 0.317
DOS(E_F) in states/eV per atom: 0.260
Magnetization in μB/f.u.: 0.00
SG: Pm-3m (221)
Calculated volume in Å³ per atom: 19.9



(2)
First-principles (SCAN) data for a PBEsol-optimized structure of BeInOs2, as listed in Alexandria via LeMat-Bulk.

```
BeInOs2
1.0
2.890 0.000 0.000
0.000 4.480 0.000
-1.445 -2.240 4.270
Be In Os
1 1 2
direct
0.500 0.000 0.000
0.000 0.500 0.000
0.787 0.787 0.574
0.213 0.213 0.426
```

Values from the calculation:
Distance to the lowest polymorph of the same formula in kJ per mole of atoms: 0.0
DFT total energy in eV/atom: -45.1103
DOS(E_F) in states/eV per atom: 0.627
Formation enthalpy at 0 K in eV per formula unit: 1.1
Magnetization in μB/f.u.: 0.00
SG: Immm (71)
Calculated volume in Å³ per atom: 13.8